NdPa2Ge | PBE | relaxed

As for the energy relative to the lowest polymorph listed for this composition: 123.5 kJ/mol of formula units.

Lattice parameters (Å, degrees): 3.2053 3.2053 34.6890 90.00 90.00 120.00
Space group R-3m (No. 166, hexagonal axes)
Unique sites:
Nd1 0.0000 0.0000 0.0000 [3 per cell]
Pa1 0.0000 0.0000 0.0959 [6 per cell]
Ge1 0.0000 0.0000 0.5000 [3 per cell]

NdPa4Ge5 | PBE | relaxed

Lattice parameters (Å, degrees): 4.168 5.886 20.837 90.00 90.00 90.00
Space group Immm (No. 71)
Unique sites:
Nd1 0.000 0.000 0.000 [2 per cell]
Pa1 0.000 0.000 0.201 [4 per cell]
Pa2 0.000 0.000 0.400 [4 per cell]
Ge1 0.000 0.500 0.000 [2 per cell]
Ge2 0.000 0.500 0.199 [4 per cell]
Ge3 0.000 0.500 0.395 [4 per cell]

Nd2PaGe | PBE | relaxed

As for the energy relative to the lowest polymorph listed for this composition: 0.0 kJ/mol of formula units.

Lattice parameters (Å, degrees): 4.789 4.789 4.540 90.00 90.00 90.00
Space group P4/mmm (No. 123)
Unique sites:
Nd1 0.000 0.500 0.000 [2 per cell]
Pa1 0.000 0.000 0.500 [1 per cell]
Ge1 0.500 0.500 0.500 [1 per cell]

NdPa2Ge | PBE | relaxed

As for the energy relative to the lowest polymorph listed for this composition: 0.0 kJ/mol of formula units.

Lattice parameters (Å, degrees): 4.405 4.405 5.022 90.00 90.00 90.00
Space group P4/mmm (No. 123)
Unique sites:
Nd1 0.000 0.000 0.000 [1 per cell]
Pa1 0.000 0.500 0.500 [2 per cell]
Ge1 0.500 0.500 0.000 [1 per cell]

Nd2PaGe | PBE | relaxed

As for the energy relative to the lowest polymorph listed for this composition: 106.0 kJ/mol of formula units.

Lattice parameters (Å, degrees): 3.2952 3.2952 34.7861 90.00 90.00 120.00
Space group R-3m (No. 166, hexagonal axes)
Unique sites:
Nd1 0.0000 0.0000 0.0944 [6 per cell]
Pa1 0.0000 0.0000 0.0000 [3 per cell]
Ge1 0.0000 0.0000 0.5000 [3 per cell]

NdPaGe2 | PBE | relaxed

As for the energy relative to the lowest polymorph listed for this composition: 0.0 kJ/mol of formula units.

Lattice parameters (Å, degrees): 4.2282 4.2282 20.6184 90.00 90.00 120.00
Space group R-3m (No. 166, hexagonal axes)
Unique sites:
Nd1 0.0000 0.0000 0.0000 [3 per cell]
Pa1 0.0000 0.0000 0.5000 [3 per cell]
Ge1 0.0000 0.0000 0.2436 [6 per cell]

NdPaGe | PBE | relaxed

Lattice parameters (Å, degrees): 5.0262 5.0262 3.5224 90.00 90.00 120.00
Space group P3m1 (No. 156)
Unique sites:
Nd1 0.0000 0.0000 0.0000 [1 per cell]
Pa1 0.3333 0.6667 0.4477 [1 per cell]
Ge1 0.6667 0.3333 0.7071 [1 per cell]

NdPaGePd | PBE | relaxed

Lattice parameters (Å, degrees): 7.212 7.212 7.212 90.00 90.00 90.00
Space group F-43m (No. 216)
Unique sites:
Nd1 0.000 0.000 0.000 [4 per cell]
Pa1 0.000 0.000 0.500 [4 per cell]
Ge1 0.250 0.250 0.750 [4 per cell]
Pd1 0.250 0.250 0.250 [4 per cell]

Nd2PaGe3Pt4 | PBE | relaxed

Lattice parameters (Å, degrees): 4.355 4.355 11.099 90.00 90.00 90.00
Space group P-4m2 (No. 115)
Unique sites:
Nd1 0.000 0.500 0.220 [2 per cell]
Pa1 0.000 0.000 0.500 [1 per cell]
Ge1 0.000 0.500 0.878 [2 per cell]
Ge2 0.500 0.500 0.500 [1 per cell]
Pt1 0.000 0.000 0.000 [1 per cell]
Pt2 0.000 0.500 0.655 [2 per cell]
Pt3 0.500 0.500 0.000 [1 per cell]

NdPaGe2Rh5 | PBE | relaxed

Lattice parameters (Å, degrees): 4.240 4.240 8.897 90.00 90.00 90.00
Space group P4/mmm (No. 123)
Unique sites:
Nd1 0.000 0.000 0.000 [1 per cell]
Pa1 0.000 0.000 0.500 [1 per cell]
Ge1 0.500 0.500 0.361 [2 per cell]
Rh1 0.000 0.500 0.239 [4 per cell]
Rh2 0.500 0.500 0.000 [1 per cell]

Nd5Ge2Pb | PBE | relaxed

Lattice parameters (Å, degrees): 8.120 8.120 14.336 90.00 90.00 90.00
Space group I4/mcm (No. 140)
Unique sites:
Nd1 0.000 0.000 0.000 [4 per cell]
Nd2 0.162 0.338 0.140 [16 per cell]
Ge1 0.140 0.360 0.500 [8 per cell]
Pb1 0.000 0.000 0.250 [4 per cell]

Nd10Ge3Pb3 | PBE | relaxed

Lattice parameters (Å, degrees): 9.1322 9.1322 6.8166 90.00 90.00 120.00
Space group P-62m (No. 189)
Unique sites:
Nd1 0.0000 0.2422 0.0000 [3 per cell]
Nd2 0.0000 0.7584 0.5000 [3 per cell]
Nd3 0.3333 0.6667 0.2367 [4 per cell]
Ge1 0.0000 0.6107 0.0000 [3 per cell]
Pb1 0.0000 0.3971 0.5000 [3 per cell]

Nd6Ge2Pb | PBE | relaxed

Lattice parameters (Å, degrees): 9.853 10.184 10.789 90.00 90.00 90.00
Space group Immm (No. 71)
Unique sites:
Nd1 0.000 0.206 0.242 [8 per cell]
Nd2 0.206 0.500 0.178 [8 per cell]
Nd3 0.222 0.313 0.500 [8 per cell]
Ge1 0.000 0.368 0.000 [4 per cell]
Ge2 0.000 0.500 0.382 [4 per cell]
Pb1 0.000 0.000 0.000 [2 per cell]
Pb2 0.000 0.000 0.500 [2 per cell]

Nd12Ge6Pb | PBE | relaxed

Lattice parameters (Å, degrees): 10.388 10.388 10.388 90.00 90.00 90.00
Space group Im-3 (No. 204)
Unique sites:
Nd1 0.000 0.296 0.188 [24 per cell]
Ge1 0.000 0.119 0.500 [12 per cell]
Pb1 0.000 0.000 0.000 [2 per cell]

Nd3GePb2 | PBE | relaxed

Lattice parameters (Å, degrees): 13.047 4.511 12.382 90.00 90.00 90.00
Space group Pnma (No. 62)
Unique sites:
Nd1 0.056 0.250 0.119 [4 per cell]
Nd2 0.113 0.750 0.547 [4 per cell]
Nd3 0.241 0.250 0.785 [4 per cell]
Ge1 0.125 0.250 0.372 [4 per cell]
Pb1 0.009 0.250 0.708 [4 per cell]
Pb2 0.190 0.750 0.002 [4 per cell]

NdGe4Pb | PBE | relaxed

Lattice parameters (Å, degrees): 8.136 8.136 8.136 90.00 90.00 90.00
Space group F-43m (No. 216)
Unique sites:
Nd1 0.000 0.000 0.000 [4 per cell]
Ge1 0.124 0.124 0.376 [16 per cell]
Pb1 0.250 0.250 0.750 [4 per cell]

Nd8Ge5Pb | PBE | relaxed

Lattice parameters (Å, degrees): 9.286 9.286 9.258 90.00 90.00 90.00
Space group I-4 (No. 82)
Unique sites:
Nd1 0.065 0.188 0.314 [8 per cell]
Nd2 0.068 0.325 0.938 [8 per cell]
Ge1 0.000 0.500 0.250 [2 per cell]
Ge2 0.126 0.250 0.626 [8 per cell]
Pb1 0.000 0.000 0.000 [2 per cell]

Nd6GePb2 | PBE | relaxed

Lattice parameters (Å, degrees): 8.6242 8.6242 4.4395 90.00 90.00 120.00
Space group P-62m (No. 189)
Unique sites:
Nd1 0.0000 0.4005 0.0000 [3 per cell]
Nd2 0.0000 0.7522 0.5000 [3 per cell]
Ge1 0.0000 0.0000 0.0000 [1 per cell]
Pb1 0.3333 0.6667 0.5000 [2 per cell]

Nd4Ge2Pb | PBE | relaxed

Lattice parameters (Å, degrees): 9.678 13.777 13.803 90.00 90.00 90.00
Space group Fddd (No. 70, origin choice 2)
Unique sites:
Nd1 0.046 0.285 0.465 [32 per cell]
Ge1 0.000 0.000 0.000 [16 per cell]
Pb1 0.125 0.125 0.625 [8 per cell]

Nd2Ge3Pd4Pb | PBE | relaxed

Lattice parameters (Å, degrees): 4.378 4.378 10.735 90.00 90.00 90.00
Space group P-4m2 (No. 115)
Unique sites:
Nd1 0.000 0.500 0.233 [2 per cell]
Ge1 0.000 0.500 0.879 [2 per cell]
Ge2 0.500 0.500 0.500 [1 per cell]
Pd1 0.000 0.000 0.000 [1 per cell]
Pd2 0.000 0.500 0.652 [2 per cell]
Pd3 0.500 0.500 0.000 [1 per cell]
Pb1 0.000 0.000 0.500 [1 per cell]

Number 1: ΔH_f (0 K) 0.18 eV per atom, density of states at the Fermi level 2.01 states/eV per atom. Number 2: ΔH_f (0 K) -0.50 eV per atom, density of states at the Fermi level 1.08 states/eV per atom. Number 3: ΔH_f (0 K) -0.14 eV per atom, density of states at the Fermi level 1.25 states/eV per atom. Number 4: ΔH_f (0 K) -0.14 eV per atom, density of states at the Fermi level 1.72 states/eV per atom. Number 5: ΔH_f (0 K) 0.14 eV per atom, density of states at the Fermi level 1.61 states/eV per atom. Number 6: ΔH_f (0 K) -0.61 eV per atom, density of states at the Fermi level 0.55 states/eV per atom. Number 7: ΔH_f (0 K) 0.06 eV per atom, density of states at the Fermi level 1.95 states/eV per atom. Number 8: ΔH_f (0 K) -0.38 eV per atom, density of states at the Fermi level 2.00 states/eV per atom. Number 9: ΔH_f (0 K) -0.89 eV per atom, density of states at the Fermi level 0.98 states/eV per atom. Number 10: ΔH_f (0 K) -0.66 eV per atom, density of states at the Fermi level 0.42 states/eV per atom. Number 11: ΔH_f (0 K) -0.66 eV per atom, density of states at the Fermi level 1.15 states/eV per atom. Number 12: ΔH_f (0 K) -0.60 eV per atom, density of states at the Fermi level 0.99 states/eV per atom. Number 13: ΔH_f (0 K) -0.55 eV per atom, density of states at the Fermi level 1.07 states/eV per atom. Number 14: ΔH_f (0 K) -0.59 eV per atom, density of states at the Fermi level 0.71 states/eV per atom. Number 15: ΔH_f (0 K) -0.55 eV per atom, density of states at the Fermi level 0.82 states/eV per atom. Number 16: ΔH_f (0 K) -0.16 eV per atom, density of states at the Fermi level 0.43 states/eV per atom. Number 17: ΔH_f (0 K) -0.76 eV per atom, density of states at the Fermi level 0.12 states/eV per atom. Number 18: ΔH_f (0 K) -0.51 eV per atom, density of states at the Fermi level 0.84 states/eV per atom. Number 19: ΔH_f (0 K) -0.58 eV per atom, density of states at the Fermi level 0.49 states/eV per atom. Number 20: ΔH_f (0 K) -0.72 eV per atom, density of states at the Fermi level 0.48 states/eV per atom.